Here is a relaxed structure of Pm7Sm12Ho from Alexandria via LeMat-Bulk. Energies are from GGA-PBE.

Lattice parameters (Å, degrees): 6.889 11.081 11.081 64.18 78.04 101.96
Fractional coordinates of all 20 atoms:
Pm  0.781  0.162  0.144
Pm  0.074  0.856  0.306
Pm  0.381  0.306  0.838
Pm  0.500  0.000  0.000
Pm  0.619  0.694  0.162
Pm  0.926  0.144  0.694
Pm  0.219  0.838  0.856
Sm  0.730  0.477  0.066
Sm  0.205  0.934  0.542
Sm  0.283  0.215  0.215
Sm  0.502  0.785  0.430
Sm  0.747  0.542  0.523
Sm  0.931  0.430  0.785
Sm  0.069  0.570  0.215
Sm  0.253  0.458  0.477
Sm  0.498  0.215  0.570
Sm  0.717  0.785  0.785
Sm  0.795  0.066  0.458
Sm  0.270  0.523  0.934
Ho  0.000  0.000  0.000

Results
The calculation puts the density of states at the Fermi level at 1.241 states/eV/atom. As for the total magnetization: 0.000 μB per atom. As for the calculated formation energy: 0.29 eV per atom. The space group is R-3 (148).